{
  "formula": "Sm8DyTm6",
  "functional": "PBE",
  "state": "relaxed",
  "cell": [[-6.4848, -2.6714, -5.6740], [-4.6593, -7.5353, 1.7012], [-8.3559, 0.2743, 2.2493]],
  "species": ["Sm", "Sm", "Sm", "Sm", "Sm", "Sm", "Sm", "Sm", "Dy", "Tm", "Tm", "Tm", "Tm", "Tm", "Tm"],
  "fractional_positions": [[0.2497, 0.2830, 0.5792], [0.7170, 0.1119, 0.4208], [0.1119, 0.7503, 0.4208], [0.5775, 0.5775, 0.2676], [0.4225, 0.4225, 0.7324], [0.8881, 0.2497, 0.5792], [0.2830, 0.8881, 0.5792], [0.7503, 0.7170, 0.4208], [0.0000, 0.0000, 0.0000], [0.4611, 0.9018, 0.8835], [0.0982, 0.2463, 0.1165], [0.2463, 0.5389, 0.1165], [0.7537, 0.4611, 0.8835], [0.9018, 0.7537, 0.8835], [0.5389, 0.0982, 0.1165]],
  "n_ef_per_ev_fu": 23.5,
  "de_polymorph_mev_per_atom": 0,
  "formation_enthalpy_0k_ev_per_atom": 0.132
}


{
  "formula": "PuReO6",
  "functional": "PBE",
  "state": "relaxed",
  "cell": [[-3.8544, -1.3219, 3.5259], [4.2526, -3.1412, -1.0412], [2.4373, 3.3639, 2.9865]],
  "species": ["Pu", "Re", "O", "O", "O", "O", "O", "O"],
  "fractional_positions": [[0.0000, 0.0000, 0.0000], [0.5000, 0.5000, 0.5000], [0.2717, 0.2717, 0.7256], [0.3968, 0.1309, 0.2616], [0.7283, 0.7283, 0.2744], [0.8691, 0.6032, 0.7384], [0.6032, 0.8691, 0.7384], [0.1309, 0.3968, 0.2616]],
  "n_ef_per_ev_fu": 4.5,
  "formation_energy_uncorrected_mev_per_atom": -1910
}


{
  "formula": "Y12GaCo5",
  "functional": "PBE",
  "state": "relaxed",
  "cell": [[7.7349, 0.0044, -2.9288], [-4.0386, 6.7949, -2.4343], [0.0161, -0.0044, 8.2708]],
  "species": ["Y", "Y", "Y", "Y", "Y", "Y", "Y", "Y", "Y", "Y", "Y", "Y", "Ga", "Co", "Co", "Co", "Co", "Co"],
  "fractional_positions": [[0.5232, 0.8138, 0.7094], [0.4768, 0.1862, 0.2906], [0.8956, 0.1862, 0.7094], [0.1044, 0.8138, 0.2906], [0.6978, 0.6842, 0.3820], [0.3022, 0.3158, 0.6180], [0.3022, 0.6842, 0.9865], [0.6978, 0.3158, 0.0135], [0.8082, 0.5945, 0.7863], [0.1918, 0.4055, 0.2137], [0.1918, 0.9781, 0.7863], [0.8082, 0.0219, 0.2137], [0.0000, 0.5000, 0.5000], [0.6212, 0.6212, 0.0000], [0.3788, 0.3788, 0.0000], [0.5000, 0.1122, 0.6122], [0.5000, 0.8878, 0.3878], [0.0000, 0.0000, 0.0000]],
  "n_ef_per_ev_fu": 14.5,
  "formation_enthalpy_0k_ev_per_atom": -0.227
}


{
  "formula": "Ca2Ga3Ni4Ge",
  "functional": "PBE",
  "state": "relaxed",
  "cell": [[-3.1913, 2.6970, 0.3240], [-0.0060, -0.5069, 4.1601], [6.2257, 7.2594, 0.8935]],
  "species": ["Ca", "Ca", "Ga", "Ga", "Ga", "Ni", "Ni", "Ni", "Ni", "Ge"],
  "fractional_positions": [[0.5000, 0.0000, 0.2452], [0.0000, 0.5000, 0.7548], [0.0000, 0.0000, 0.5000], [0.5000, 0.0000, 0.8770], [0.0000, 0.5000, 0.1230], [0.5000, 0.5000, 0.0000], [0.0000, 0.0000, 0.0000], [0.5000, 0.0000, 0.6261], [0.0000, 0.5000, 0.3739], [0.5000, 0.5000, 0.5000]],
  "n_ef_per_ev_fu": 4.6,
  "formation_enthalpy_0k_ev_per_atom": -0.457
}


{
  "formula": "TcNiTe2I",
  "functional": "PBE",
  "state": "relaxed",
  "cell": [[-3.8212, -1.9735, 2.7264], [2.7516, -4.2071, 0.8113], [1.9823, 2.1296, 4.3198]],
  "species": ["I", "Ni", "Te", "Te", "Tc"],
  "fractional_positions": [[0.0000, 0.0000, 0.5000], [0.0000, 0.0000, 0.0000], [0.0000, 0.5000, 0.0000], [0.5000, 0.0000, 0.0000], [0.5000, 0.5000, 0.5000]],
  "n_ef_per_ev_fu": 5.3,
  "de_polymorph_mev_per_atom": 0,
  "formation_energy_uncorrected_mev_per_atom": 941
}


{
  "formula": "SnP2W",
  "functional": "PBE",
  "state": "relaxed",
  "cell": [[-0.3601, 2.6696, -1.1319], [-2.5809, 0.7708, -1.1325], [-3.9388, 4.6042, 8.3405]],
  "species": ["P", "P", "Sn", "W"],
  "fractional_positions": [[0.0803, 0.0803, 0.7592], [0.9197, 0.9197, 0.2408], [0.5000, 0.5000, 0.5000], [0.0000, 0.0000, 0.0000]],
  "n_ef_per_ev_fu": 3.9,
  "formation_enthalpy_0k_ev_per_atom": 0.825
}


| no. | final energy (eV/atom) | size of the total moment (μB per formula unit) | calculated density (g/cm3) |
| --- | --- | --- | --- |
| 1 | -4.48 | 0.0 | 8.10 |
| 2 | -8.98 | 3.0 | 7.27 |
| 3 | -6.68 | 0.0 | 5.46 |
| 4 | -4.54 | 0.0 | 5.87 |
| 5 | -3.85 | 4.4 | 6.63 |
| 6 | -6.12 | 0.0 | 8.05 |